Entry 1:
The following is a DFT calculation (GGA-PBE) of CsIn2F6 after structural relaxation.

E_tot = -4.422 eV per atom

Cell lengths 6.0294, 6.0294, 6.3369 Å; angles 90.00, 90.00, 120.00 degrees
Closest atoms and distances in Å follow each position.
Fractional coordinates of all 9 atoms:
Cs  0.0000  0.0000  0.0000  6 F 3.08
In  0.3333  0.6667  0.5000  6 F 2.21
In  0.6667  0.3333  0.5000  6 F 2.21
F  0.6079  0.0000  0.3120  2 In 2.21
F  0.3921  0.3921  0.3120  2 In 2.21
F  0.0000  0.6079  0.3120  2 In 2.21
F  0.6079  0.6079  0.6880  2 In 2.21
F  0.0000  0.3921  0.6880  2 In 2.21
F  0.3921  0.0000  0.6880  2 In 2.21



Entry 2:
The following is a DFT calculation (GGA-PBE) of Cs2In3F10 after structural relaxation.

E_tot = -4.481 eV per atom

Cell lengths 6.3955, 9.4946, 10.8404 Å; angles 112.28, 107.16, 90.00 degrees
Closest atoms and distances in Å follow each position.
Fractional coordinates of all 30 atoms:
Cs  0.7042  0.3237  0.4083  4 F 2.96-3.19
Cs  0.2958  0.6763  0.5917  4 F 2.96-3.19
Cs  0.6141  0.7280  0.2282  9 F 2.97-3.22
Cs  0.3859  0.2720  0.7718  9 F 2.97-3.22
In  0.9182  0.5112  0.8363  5 F 2.03-2.18
In  0.0818  0.4888  0.1637  5 F 2.03-2.18
In  0.8212  0.9992  0.6423  6 F 2.03-2.18
In  0.1788  0.0008  0.3577  6 F 2.03-2.18
In  0.7801  0.0000  0.0000  4 F 2.20-2.26
In  0.2199  0.0000  0.0000  4 F 2.20-2.26
F  0.6474  0.9995  0.7826  2 In 2.13-2.26
F  0.1352  0.9995  0.7826  2 In 2.13-2.26
F  0.3526  0.0005  0.2174  2 In 2.13-2.26
F  0.8648  0.0005  0.2174  2 In 2.13-2.26
F  0.6114  0.4897  0.7001  1 In 2.03
F  0.0887  0.4897  0.7001  1 In 2.03
F  0.3886  0.5103  0.2999  1 In 2.03
F  0.9113  0.5103  0.2999  1 In 2.03
F  0.9658  0.7505  0.9316  1 In 2.09
F  0.0342  0.2495  0.0684  1 In 2.09
F  0.8671  0.2439  0.7343  2 In 2.13-2.33
F  0.1329  0.7561  0.2657  2 In 2.13-2.33
F  0.7740  0.7670  0.5479  1 In 2.03
F  0.2260  0.2330  0.4521  1 In 2.03
F  0.4733  0.8531  0.9465  2 In 2.20
F  0.5267  0.1469  0.0535  2 In 2.20
F  0.7949  0.5000  0.0000  2 In 2.18
F  0.2051  0.5000  0.0000  2 In 2.18
F  0.5000  0.0000  0.5000  2 In 2.18
F  0.0000  0.0000  0.5000  2 In 2.18



Number 1: formation energy without anion corrections -2.4710 eV/atom. Number 2: formation energy without anion corrections -2.5719 eV/atom.